Computed, not measured: crystalline BaNdBi4O8 at its relaxed geometry at the PBE-GGA level of DFT.

```
14
Lattice="3.649 2.107 5.926 -3.649 2.107 5.926 0.000 -4.214 5.926" Properties=species:S:1:pos:R:3 pbc="T T T"
Ba 0.000 0.000 0.000
Nd 0.000 0.000 11.113
Bi -1.851 -1.069 8.129
Bi 0.000 0.000 4.292
Bi 1.851 -1.069 8.129
Bi 0.000 2.137 8.129
O 0.000 0.000 6.460
O 0.000 -1.914 9.707
O -1.657 0.957 9.707
O -1.546 -0.893 12.781
O 1.657 0.957 9.707
O 0.000 0.000 15.153
O 1.546 -0.893 12.781
O 0.000 1.785 12.781
```

## Properties
- formation energy (no corrections) (eV per atom) = -1.669
- SG = R3m (160)
- magnetization (μB/cell) = 0.0

=====

Computed, not measured: crystalline Ba4NdBi3O12 at its relaxed geometry at the PBE-GGA level of DFT.

```
20
Lattice="-4.438 4.438 4.438 4.438 -4.438 4.438 4.438 4.438 -4.438" Properties=species:S:1:pos:R:3 pbc="T T T"
Ba 2.219 2.219 -2.219
Ba 2.219 -2.219 2.219
Ba -2.219 2.219 2.219
Ba 2.219 2.219 2.219
Nd 0.000 0.000 0.000
Bi 4.438 0.000 0.000
Bi 0.000 4.438 0.000
Bi 0.000 0.000 4.438
O 2.287 0.000 0.000
O 6.590 0.000 0.000
O 4.438 2.219 0.000
O 4.438 0.000 2.219
O 0.000 2.287 0.000
O 0.000 0.000 2.287
O 2.219 4.438 0.000
O 2.219 0.000 4.438
O 0.000 6.590 0.000
O 0.000 0.000 6.590
O 0.000 4.438 2.219
O 0.000 2.219 4.438
```

## Properties
- formation energy (no corrections) (eV per atom) = -2.030
- SG = Im-3m (229)
- magnetization (μB/cell) = 0.0

=====

Computed, not measured: crystalline Ba3NdBi2O9 at its relaxed geometry at the PBE-GGA level of DFT.

```
15
Lattice="6.274 0.000 0.000 -3.137 5.434 0.000 0.000 0.000 7.697" Properties=species:S:1:pos:R:3 pbc="T T T"
Ba 0.000 0.000 0.000
Ba 0.000 3.622 5.197
Ba 3.137 1.811 2.500
Nd 0.000 0.000 3.848
Bi 0.000 3.622 1.289
Bi 3.137 1.811 6.407
O -1.569 2.717 0.000
O 0.000 1.866 2.497
O -1.521 4.501 2.497
O 1.616 0.933 5.200
O 3.137 0.000 0.000
O 1.569 2.717 0.000
O 1.521 4.501 2.497
O 4.658 0.933 5.200
O 3.137 3.568 5.200
```

## Properties
- formation energy (no corrections) (eV per atom) = -2.131
- SG = P-3m1 (164)
- magnetization (μB/cell) = 0.0

=====

Computed, not measured: crystalline Ba2NdBi3Pt4 at its relaxed geometry at the PBE-GGA level of DFT.

```
10
Lattice="4.906 0.000 0.000 0.000 4.906 0.000 0.000 0.000 11.560" Properties=species:S:1:pos:R:3 pbc="T T T"
Ba 0.000 2.453 2.605
Ba 2.453 0.000 8.955
Nd 0.000 0.000 5.780
Bi 0.000 2.453 10.189
Bi 2.453 0.000 1.370
Bi 2.453 2.453 5.780
Pt 0.000 0.000 0.000
Pt 0.000 2.453 7.404
Pt 2.453 0.000 4.156
Pt 2.453 2.453 0.000
```

## Properties
- total energy (eV for the cell shown) = -51.41
- SG = P-4m2 (115)
- magnetization (μB/cell) = 0.0

=====

Computed, not measured: crystalline Ba3NdTh2Bi6 at its relaxed geometry at the PBE-GGA level of DFT.

```
12
Lattice="4.129 -7.156 0.000 4.129 7.156 0.000 -2.757 0.000 8.148" Properties=species:S:1:pos:R:3 pbc="T T T"
Ba 0.000 0.000 0.000
Ba 4.129 2.371 0.000
Ba 4.129 -2.371 0.000
Nd 2.751 0.000 4.074
Th 2.751 4.769 4.074
Th 2.751 -4.769 4.074
Bi 1.363 2.406 2.286
Bi -0.028 0.000 5.859
Bi 1.363 -2.406 2.286
Bi 4.138 2.406 5.862
Bi 5.529 0.000 2.289
Bi 4.138 -2.406 5.862
```

## Properties
- total energy (eV for the cell shown) = -58.37
- SG = C2/m (12)
- magnetization (μB/cell) = 0.0

=====

Computed, not measured: crystalline BaNiBi2 at its relaxed geometry at the PBE-GGA level of DFT.

```
12
Lattice="4.180 0.000 0.000 -2.090 3.620 0.000 0.000 0.000 28.537" Properties=species:S:1:pos:R:3 pbc="T T T"
Ba 0.000 0.000 0.000
Ba 0.000 2.413 19.025
Ba 2.090 1.207 9.512
Ni 0.000 0.000 14.269
Ni 0.000 2.413 4.756
Ni 2.090 1.207 23.781
Bi 0.000 0.000 3.570
Bi 0.000 0.000 24.967
Bi 0.000 2.413 15.455
Bi 0.000 2.413 22.595
Bi 2.090 1.207 5.942
Bi 2.090 1.207 13.082
```

## Properties
- total energy (eV for the cell shown) = -46.20
- SG = R-3m (166)
- magnetization (μB/cell) = 0.9

=====

Computed, not measured: crystalline BaNi2Bi at its relaxed geometry at the PBE-GGA level of DFT.

```
16
Lattice="5.101 0.000 0.000 0.000 5.101 0.000 0.000 0.000 17.396" Properties=species:S:1:pos:R:3 pbc="T T T"
Ba 0.000 1.275 6.523
Ba 0.000 3.826 10.872
Ba 2.550 1.275 2.174
Ba 2.550 3.826 15.221
Ni 0.000 0.000 0.000
Ni 0.000 2.550 0.000
Ni 1.275 1.275 13.047
Ni 1.275 3.826 4.349
Ni 2.550 0.000 8.698
Ni 2.550 2.550 8.698
Ni 3.826 1.275 13.047
Ni 3.826 3.826 4.349
Bi 0.000 1.275 15.221
Bi 0.000 3.826 2.174
Bi 2.550 1.275 10.872
Bi 2.550 3.826 6.523
```

## Properties
- total energy (eV for the cell shown) = -69.85
- SG = I4_1/amd (141)
- magnetization (μB/cell) = 0.0

=====

Computed, not measured: crystalline Ba2Ni2Bi at its relaxed geometry at the PBE-GGA level of DFT.

```
10
Lattice="7.640 0.000 0.000 0.000 7.640 0.000 0.000 0.000 4.751" Properties=species:S:1:pos:R:3 pbc="T T T"
Ba 1.419 2.401 0.000
Ba 2.401 6.221 0.000
Ba 5.239 1.419 0.000
Ba 6.221 5.239 0.000
Ni 0.822 4.642 2.375
Ni 2.998 0.822 2.375
Ni 4.642 6.818 2.375
Ni 6.818 2.998 2.375
Bi 0.000 0.000 2.375
Bi 3.820 3.820 2.375
```

## Properties
- total energy (eV for the cell shown) = -39.93
- SG = P4/mbm (127)
- magnetization (μB/cell) = 0.0

=====

Computed, not measured: crystalline Ba2Ni2Bi at its relaxed geometry at the PBE-GGA level of DFT.

```
10
Lattice="6.261 0.000 0.000 0.000 6.261 0.000 0.000 0.000 7.717" Properties=species:S:1:pos:R:3 pbc="T T T"
Ba 0.000 3.130 1.929
Ba 0.000 3.130 5.788
Ba 3.130 0.000 1.929
Ba 3.130 0.000 5.788
Ni 0.000 0.000 1.157
Ni 0.000 0.000 6.560
Ni 3.130 3.130 2.702
Ni 3.130 3.130 5.016
Bi 0.000 0.000 3.859
Bi 3.130 3.130 0.000
```

## Properties
- total energy (eV for the cell shown) = -39.49
- SG = I4/mmm (139)
- magnetization (μB/cell) = 1.9

=====

Computed, not measured: crystalline BaNi4Bi12 at its relaxed geometry at the PBE-GGA level of DFT.

```
17
Lattice="-4.895 4.895 4.895 4.895 -4.895 4.895 4.895 4.895 -4.895" Properties=species:S:1:pos:R:3 pbc="T T T"
Ba 0.000 0.000 0.000
Ni 2.448 2.448 -2.448
Ni 2.448 -2.448 2.448
Ni -2.448 2.448 2.448
Ni 2.448 2.448 2.448
Bi 3.284 1.627 0.000
Bi 6.507 1.627 0.000
Bi 4.895 -1.612 3.268
Bi 3.268 4.895 -1.612
Bi 1.627 0.000 3.284
Bi 4.895 1.612 3.268
Bi 0.000 3.284 1.627
Bi 3.268 4.895 1.612
Bi 1.627 0.000 6.507
Bi 0.000 6.507 1.627
Bi -1.612 3.268 4.895
Bi 1.612 3.268 4.895
```

## Properties
- total energy (eV for the cell shown) = -73.69
- SG = Im-3 (204)
- magnetization (μB/cell) = 0.0

=====

Computed, not measured: crystalline BaNiBi3 at its relaxed geometry at the PBE-GGA level of DFT.

```
5
Lattice="6.326 0.000 0.000 0.000 6.326 0.000 0.000 0.000 6.326" Properties=species:S:1:pos:R:3 pbc="T T T"
Ba 0.000 0.000 0.000
Ni 3.163 3.163 3.163
Bi 0.000 0.000 3.163
Bi 0.000 3.163 0.000
Bi 3.163 0.000 0.000
```

## Properties
- total energy (eV for the cell shown) = -12.01
- SG = Pm-3m (221)
- magnetization (μB/cell) = 1.3

=====

Computed, not measured: crystalline BaNiBi2 at its relaxed geometry at the PBE-GGA level of DFT.

```
16
Lattice="5.828 0.000 0.000 0.000 5.828 0.000 0.000 0.000 17.046" Properties=species:S:1:pos:R:3 pbc="T T T"
Ba 0.000 0.000 0.000
Ba 0.000 2.914 4.262
Ba 2.914 0.000 12.785
Ba 2.914 2.914 8.523
Ni 0.000 0.000 8.523
Ni 0.000 2.914 12.785
Ni 2.914 0.000 4.262
Ni 2.914 2.914 0.000
Bi 0.561 1.457 10.654
Bi 1.457 3.475 14.916
Bi 1.457 5.267 6.392
Bi 2.353 1.457 2.131
Bi 3.475 4.371 2.131
Bi 4.371 0.561 6.392
Bi 4.371 2.353 14.916
Bi 5.267 4.371 10.654
```

## Properties
- total energy (eV for the cell shown) = -64.22
- SG = I-42d (122)
- magnetization (μB/cell) = 0.0